Density functional theory data (PBE) for a relaxed structure of AcMg2Al2Si.

Values from the calculation:
Uncorrected formation energy, eV per atom: 0.01
DOS at the Fermi energy, states/eV per atom: 0.52
Space group: I4/mmm

abc: 8.760 8.760 8.760
angles: 150.17 150.17 42.69
Sites, in units of the cell vectors:
Ac1 0.000 0.000 0.000
Mg1 0.250 0.750 0.500
Mg2 0.750 0.250 0.500
Al1 0.356 0.356 0.000
Al2 0.644 0.644 0.000
Si1 0.500 0.500 0.000

Density functional theory data (PBE) for a relaxed structure of Sr2CaMg.

Values from the calculation:
ΔH_f (0 K), eV per formula unit: -0.07
DOS at the Fermi energy, states/eV per atom: 1.10
Space group: I4/mmm

abc: 10.911 10.911 10.911
angles: 149.06 149.06 44.32
Sites, in units of the cell vectors:
Sr1 0.000 0.500 0.500
Sr2 0.149 0.149 0.000
Sr3 0.500 0.000 0.500
Sr4 0.851 0.851 0.000
Ca1 0.348 0.348 0.000
Ca2 0.652 0.652 0.000
Mg1 0.250 0.750 0.500
Mg2 0.750 0.250 0.500

Density functional theory data (PBE) for a relaxed structure of PrY3Tl4.

Values from the calculation:
ΔH_f (0 K), eV per formula unit: -3.03
DOS at the Fermi energy, states/eV per atom: 0.76
Space group: Pmma

abc: 10.889 7.612 5.443
angles: 90.00 90.00 90.00
Sites, in units of the cell vectors:
Pr1 0.000 0.000 0.000
Pr2 0.500 0.000 0.000
Y1 0.000 0.500 0.000
Y2 0.250 0.000 0.499
Y3 0.250 0.500 0.498
Y4 0.500 0.500 0.000
Y5 0.750 0.000 0.501
Y6 0.750 0.500 0.502
Tl1 0.000 0.257 0.500
Tl2 0.000 0.743 0.500
Tl3 0.250 0.257 0.998
Tl4 0.250 0.743 0.998
Tl5 0.500 0.257 0.500
Tl6 0.500 0.743 0.500
Tl7 0.750 0.257 0.002
Tl8 0.750 0.743 0.002

Density functional theory data (PBE) for a relaxed structure of AlZnAg3.

Values from the calculation:
ΔH_f (0 K), eV per formula unit: 2.82
DOS at the Fermi energy, states/eV per atom: 0.41
Space group: Pm-3m

abc: 4.878 4.878 4.878
angles: 90.00 90.00 90.00
Sites, in units of the cell vectors:
Al1 0.000 0.000 0.000
Zn1 0.500 0.500 0.500
Ag1 0.000 0.000 0.500
Ag2 0.000 0.500 0.000
Ag3 0.500 0.000 0.000

Density functional theory data (PBE) for a relaxed structure of BaCuAg2Au.

Values from the calculation:
ΔH_f (0 K), eV per formula unit: -0.53
DOS at the Fermi energy, states/eV per atom: 0.31
Space group: P4/mmm

abc: 5.020 5.020 5.067
angles: 90.00 90.00 90.00
Sites, in units of the cell vectors:
Ba1 0.000 0.000 0.000
Cu1 0.500 0.500 0.500
Ag1 0.000 0.500 0.500
Ag2 0.500 0.000 0.500
Au1 0.500 0.500 0.000

Density functional theory data (PBE) for a relaxed structure of PuAlPt.

Values from the calculation:
ΔH_f (0 K), eV per formula unit: -2.52
DOS at the Fermi energy, states/eV per atom: 3.24
Space group: P2_1/m

abc: 7.044 4.284 11.900
angles: 90.00 91.50 90.00
Sites, in units of the cell vectors:
Pu1 0.005 0.250 0.292
Pu2 0.363 0.750 0.924
Pu3 0.480 0.750 0.623
Pu4 0.520 0.250 0.377
Pu5 0.637 0.250 0.076
Pu6 0.995 0.750 0.708
Al1 0.012 0.250 0.917
Al2 0.150 0.250 0.543
Al3 0.342 0.750 0.207
Al4 0.658 0.250 0.793
Al5 0.850 0.750 0.457
Al6 0.988 0.750 0.083
Pt1 0.216 0.250 0.098
Pt2 0.218 0.750 0.425
Pt3 0.282 0.250 0.758
Pt4 0.718 0.750 0.242
Pt5 0.782 0.250 0.575
Pt6 0.784 0.750 0.902

Density functional theory data (PBE) for a relaxed structure of Na3ZnO3.

Values from the calculation:
Uncorrected formation energy, eV per atom: -1.19
DOS at the Fermi energy, states/eV per atom: 0.52
Space group: C2/m

abc: 5.980 5.980 5.931
angles: 93.68 93.68 111.03
Sites, in units of the cell vectors:
Na1 0.180 0.820 0.000
Na2 0.252 0.748 0.500
Na3 0.372 0.372 0.135
Na4 0.628 0.628 0.865
Na5 0.748 0.252 0.500
Na6 0.820 0.180 0.000
Zn1 0.190 0.190 0.627
Zn2 0.810 0.810 0.373
O1 0.095 0.095 0.300
O2 0.184 0.480 0.777
O3 0.480 0.184 0.777
O4 0.520 0.816 0.223
O5 0.816 0.520 0.223
O6 0.905 0.905 0.700

Density functional theory data (PBE) for a relaxed structure of BaOsBr2.

Values from the calculation:
Uncorrected formation energy, eV per atom: 0.26
DOS at the Fermi energy, states/eV per atom: 0.94
Space group: C2/m

abc: 6.024 6.024 5.230
angles: 114.83 114.83 105.02
Sites, in units of the cell vectors:
Ba1 0.000 0.000 0.000
Os1 0.500 0.500 0.000
Br1 0.000 0.500 0.500
Br2 0.500 0.000 0.500

Density functional theory data (PBE) for a relaxed structure of DyZnHg2.

Values from the calculation:
ΔH_f (0 K), eV per formula unit: -1.20
DOS at the Fermi energy, states/eV per atom: 0.63
Space group: Fm-3m

abc: 4.999 4.999 4.999
angles: 60.00 60.00 60.00
Sites, in units of the cell vectors:
Dy1 0.000 0.000 0.000
Zn1 0.500 0.500 0.500
Hg1 0.250 0.250 0.250
Hg2 0.750 0.750 0.750

Density functional theory data (PBE) for a relaxed structure of Dy8P3Se4S.

Values from the calculation:
Uncorrected formation energy, eV per atom: -1.82
DOS at the Fermi energy, states/eV per atom: 0.45
Space group: R-3m

abc: 8.123 8.123 8.123
angles: 59.09 59.09 59.09
Sites, in units of the cell vectors:
Dy1 0.239 0.745 0.745
Dy2 0.243 0.243 0.243
Dy3 0.255 0.255 0.761
Dy4 0.255 0.761 0.255
Dy5 0.745 0.239 0.745
Dy6 0.745 0.745 0.239
Dy7 0.757 0.757 0.757
Dy8 0.761 0.255 0.255
P1 0.000 0.000 0.500
P2 0.000 0.500 0.000
P3 0.500 0.000 0.000
Se1 0.000 0.000 0.000
Se2 0.000 0.500 0.500
Se3 0.500 0.000 0.500
Se4 0.500 0.500 0.000
S1 0.500 0.500 0.500

Look up the DOS at the Fermi energy of the ninth one. 0.63 states/eV per atom

Among the records above, which one has the lowest DOS at the Fermi energy? BaCuAg2Au

Among the records above, which one has the highest DOS at the Fermi energy? PuAlPt

Look up the DOS at the Fermi energy of the ninth one. 0.63 states/eV per atom